#P
K4CoO4, relaxed, DFT PBE+U; space group = No. 137; calculated volume = 332.0 Å³/cell
1.0
7.453 0.000 0.000
0.000 7.453 0.000
0.000 0.000 5.977
K Co O
8 2 8
direct
0.031 0.250 0.117 K
0.250 0.031 0.617 K
0.250 0.469 0.617 K
0.469 0.250 0.117 K
0.531 0.750 0.883 K
0.750 0.531 0.383 K
0.750 0.969 0.383 K
0.969 0.750 0.883 K
0.250 0.750 0.250 Co
0.750 0.250 0.750 Co
0.051 0.750 0.428 O
0.250 0.551 0.072 O
0.250 0.949 0.072 O
0.449 0.750 0.428 O
0.551 0.250 0.572 O
0.750 0.051 0.928 O
0.750 0.449 0.928 O
0.949 0.250 0.572 O

***

#Q
K4CoO4, relaxed, DFT PBE+U; space group = No. 121; calculated volume = 219.8 Å³/cell
1.0
-3.165 3.165 5.485
3.165 -3.165 5.485
3.165 3.165 -5.485
K Co O
4 1 4
direct
0.000 0.500 0.500 K
0.211 0.211 0.000 K
0.500 0.000 0.500 K
0.789 0.789 0.000 K
0.500 0.500 0.000 Co
0.237 0.569 0.000 O
0.431 0.431 0.668 O
0.569 0.237 0.000 O
0.763 0.763 0.332 O

***

Stability, lowest: #Q